A plane-wave DFT calculation with PBE was carried out for a geometry-optimized La2SmEr2 structure.

It has space group C2/c (No. 15), with a = 9.389 Å, b = 13.479 Å, c = 6.137 Å, α = 90.00°, β = 112.41° and γ = 90.00°. Symmetry generates all atoms from La at (0.183, 0.079, 0.368), Sm at (0.000, 0.436, 0.750), Er at (0.000, 0.174, 0.750) and Er at (0.000, 0.305, 0.250).

The energy of formation from the pure elements is 0.2900 eV per atom. Its magnetization is 0.0 μB/cell. Its volume is 718.0 Å³ per cell.